## YBe2Nb (PBE)

Data for YBe2Nb after structural relaxation.

As for the formation enthalpy at 0 K: 0.59 eV per atom. The polymorph energy (0 for the lowest one) comes out at 0.387 eV per atom. For the total energy, the calculation gives -5.4044 eV/atom. The space group is I-42d (122). The value obtained for the magnetization is 0.00 μB per atom. As for the volume: 69.6 Å³/f.u.

abc: 7.1832 7.1832 5.7506
angles: 51.35 51.35 90.00
Fractional positions:
Y 0.5000 0.5000 0.0000
Y 0.2500 0.7500 0.5000
Be 0.6586 0.1250 0.2500
Be 0.0914 0.6250 0.2500
Be 0.3750 0.3414 0.7500
Be 0.8750 0.9086 0.7500
Nb 0.0000 0.0000 0.0000
Nb 0.7500 0.2500 0.5000

***

## YBeNb3 (PBE)

Data for YBeNb3 after structural relaxation.

As for the formation enthalpy at 0 K: 2.34 eV per atom. The polymorph energy (0 for the lowest one) comes out at 1.807 eV per atom. For the total energy, the calculation gives -5.7376 eV/atom. The space group is Pm-3m (221). The value obtained for the magnetization is 0.00 μB per atom. As for the volume: 118.5 Å³/f.u.

abc: 4.9122 4.9122 4.9122
angles: 90.00 90.00 90.00
Fractional positions:
Y 0.0000 0.0000 0.0000
Be 0.5000 0.5000 0.5000
Nb 0.0000 0.5000 0.0000
Nb 0.0000 0.0000 0.5000
Nb 0.5000 0.0000 0.0000

***

## YBe17Nb (PBE)

Data for YBe17Nb after structural relaxation.

As for the formation enthalpy at 0 K: -0.17 eV per atom. For the total energy, the calculation gives -4.3718 eV/atom. The space group is R3m (160). The value obtained for the magnetization is 0.00 μB per atom. As for the volume: 180.2 Å³/f.u.

abc: 5.6892 5.6892 5.6892
angles: 82.89 82.89 82.89
Fractional positions:
Y 0.6614 0.6614 0.6614
Be 0.2840 0.0028 0.7122
Be 0.7122 0.2840 0.0028
Be 0.0028 0.7122 0.2840
Be 0.2840 0.7122 0.0028
Be 0.0028 0.2840 0.7122
Be 0.7122 0.0028 0.2840
Be 0.3393 0.8442 0.3393
Be 0.3393 0.3393 0.8442
Be 0.8442 0.3393 0.3393
Be 0.6541 0.1619 0.6541
Be 0.6541 0.6541 0.1619
Be 0.1619 0.6541 0.6541
Be 0.0040 0.4980 0.0040
Be 0.0040 0.0040 0.4980
Be 0.4980 0.0040 0.0040
Be 0.9077 0.9077 0.9077
Be 0.0991 0.0991 0.0991
Nb 0.3350 0.3350 0.3350

***

## YBe2Nb (PBE)

Data for YBe2Nb after structural relaxation.

As for the formation enthalpy at 0 K: 0.21 eV per atom. The polymorph energy (0 for the lowest one) comes out at 0.000 eV per atom. For the total energy, the calculation gives -5.7914 eV/atom. The space group is Fm-3m (225). The value obtained for the magnetization is 0.00 μB per atom. As for the volume: 64.8 Å³/f.u.

abc: 4.5095 4.5095 4.5095
angles: 60.00 60.00 60.00
Fractional positions:
Y 0.0000 0.0000 0.0000
Be 0.2500 0.2500 0.2500
Be 0.7500 0.7500 0.7500
Nb 0.5000 0.5000 0.5000